1.
Here is a crystal of Y2InPd2 relaxed with PBEsol from Alexandria via LeMat-Bulk. Energies are from meta-GGA SCAN.

Summary:
DFT total energy = -319.185 eV per cell
total magnetization = 0.00 μB/f.u.
DOS(E_F) = 0.5682 states/eV per atom
energy of formation = -95.94 kJ per mole of atoms

Cell lengths 3.6706, 7.6058, 7.6058 Å; angles 90.00, 90.00, 90.00 degrees
Last column: nearest neighbours and their distance in Å.
Element x y z (fractional)
Pd (0.0000, 0.6278, 0.8722)  1 Pd 2.75, 6 Y 2.81-2.96, 2 In 2.99
Pd (0.0000, 0.8722, 0.3722)  1 Pd 2.75, 6 Y 2.81-2.96, 2 In 2.99
Pd (0.0000, 0.3722, 0.1278)  1 Pd 2.75, 6 Y 2.81-2.96, 2 In 2.99
Pd (0.0000, 0.1278, 0.6278)  1 Pd 2.75, 6 Y 2.81-2.96, 2 In 2.99
In (0.0000, 0.0000, 0.0000)  4 Pd 2.99
In (0.0000, 0.5000, 0.5000)  4 Pd 2.99
Y (0.5000, 0.3262, 0.8262)  6 Pd 2.81-2.96
Y (0.5000, 0.8262, 0.6738)  6 Pd 2.81-2.96
Y (0.5000, 0.1738, 0.3262)  6 Pd 2.81-2.96
Y (0.5000, 0.6738, 0.1738)  6 Pd 2.81-2.96

=====

2.
Here is a crystal of Zn3InPd relaxed with PBEsol from Alexandria via LeMat-Bulk. Energies are from meta-GGA SCAN.

Summary:
DFT total energy = -106.125 eV per cell
total magnetization = 0.00 μB/f.u.
DOS(E_F) = 0.3294 states/eV per atom
energy of formation = 11.22 kJ per mole of atoms

Cell lengths 4.7453, 4.7453, 4.7453 Å; angles 90.00, 90.00, 90.00 degrees
Last column: nearest neighbours and their distance in Å.
Element x y z (fractional)
Zn (0.0000, 0.0000, 0.5000)  2 Pd 2.37
Zn (0.5000, 0.0000, 0.0000)  2 Pd 2.37
Zn (0.0000, 0.5000, 0.0000)  2 Pd 2.37
In (0.5000, 0.5000, 0.5000)  12 Zn 3.36
Pd (0.0000, 0.0000, 0.0000)  6 Zn 2.37

=====

3.
Here is a crystal of ZnIn2Pd2 relaxed with PBEsol from Alexandria via LeMat-Bulk. Energies are from meta-GGA SCAN.

Summary:
DFT total energy = -295.845 eV per cell
total magnetization = 0.00 μB/f.u.
DOS(E_F) = 0.2635 states/eV per atom
energy of formation = -40.25 kJ per mole of atoms

Cell lengths 3.7166, 6.8751, 6.8751 Å; angles 90.00, 90.00, 90.00 degrees
Last column: nearest neighbours and their distance in Å.
Element x y z (fractional)
Zn (0.0000, 0.0000, 0.0000)  4 Pd 2.62
Zn (0.0000, 0.5000, 0.5000)  4 Pd 2.62
Pd (0.0000, 0.1488, 0.3512)  2 Zn 2.62, 6 In 2.66-2.80, 1 Pd 2.89
Pd (0.0000, 0.3512, 0.8512)  2 Zn 2.62, 6 In 2.66-2.80, 1 Pd 2.89
Pd (0.0000, 0.8512, 0.6488)  2 Zn 2.62, 6 In 2.66-2.80, 1 Pd 2.89
Pd (0.0000, 0.6488, 0.1488)  2 Zn 2.62, 6 In 2.66-2.80, 1 Pd 2.89
In (0.5000, 0.1554, 0.6554)  6 Pd 2.66-2.80
In (0.5000, 0.6554, 0.8446)  6 Pd 2.66-2.80
In (0.5000, 0.8446, 0.3446)  6 Pd 2.66-2.80
In (0.5000, 0.3446, 0.1554)  6 Pd 2.66-2.80

=====

> Among the records above, which one has the highest DFT total energy?

Zn3InPd